DFT (PBE) results for a geometry-optimized TaBe3Ga structure.

a = 4.520 Å, b = 4.520 Å, c = 4.520 Å
α = 90.00°, β = 90.00°, γ = 90.00°
Space group Pm-3m (No. 221)
Asymmetric unit:
1 Ta 0.000 0.000 0.000 (multiplicity 1)
2 Be 0.000 0.000 0.500 (multiplicity 3)
3 Ga 0.500 0.500 0.500 (multiplicity 1)

The calculation puts the total magnetization at 0.00 μB per formula unit. The density of states at the Fermi level comes out at 3.36 states/eV/cell. The total energy comes out at -0.1324 Ha/atom. The calculation puts the energy above the most stable polymorph in this dataset at 0.660 eV/atom. The calculation puts the calculated density at 5.00 g/cm3.



DFT (PBE) results for a geometry-optimized FePt2Au structure.

a = 9.315 Å, b = 2.813 Å, c = 4.834 Å
α = 90.00°, β = 101.81°, γ = 90.00°
Space group C2/m (No. 12)
Asymmetric unit:
1 Fe 0.000 0.000 0.000 (multiplicity 2)
2 Pt 0.241 0.500 0.239 (multiplicity 4)
3 Au 0.000 0.500 0.500 (multiplicity 2)

The calculation puts the total magnetization at 3.45 μB per formula unit. The density of states at the Fermi level comes out at 5.74 states/eV/cell. The total energy comes out at -0.2213 Ha/atom. The calculation puts the energy above the most stable polymorph in this dataset at 0.074 eV/atom. The calculation puts the calculated density at 17.22 g/cm3.